Entry 1:
Crystalline P2HPdAu at its relaxed geometry, computed with PBE.

The structure belongs to space group P1 (No. 1); the cell edges are 3.7036, 4.3040 and 5.6242 Å and the angles 103.95°, 106.22° and 96.53°. The inequivalent atoms are P at (0.0000, 0.0000, 0.0000), P at (0.0165, 0.5716, 0.7005), H at (0.6258, 0.3572, 0.5952), Pd at (0.4779, 0.2655, 0.8661) and Au at (0.0319, 0.7803, 0.3484).

The volume comes out at 82.0 Å³/cell. As for the density of states at the Fermi level: 0.2182 states/eV per atom. For the energy relative to the lowest polymorph listed for this composition, the calculation gives 15 meV/atom.

***

Entry 2:
Crystalline P2HPdAu at its relaxed geometry, computed with PBE.

The structure belongs to space group Cm (No. 8); the cell edges are 7.7814, 4.5229 and 4.4188 Å and the angles 90.00°, 99.34° and 90.00°. The inequivalent atoms are P at (0.0000, 0.0000, 0.0000), P at (0.2253, 0.5000, 0.8018), H at (0.3691, 0.0000, 0.3920), Pd at (0.0518, 0.5000, 0.2074) and Au at (0.1877, 0.0000, 0.5872).

The volume comes out at 153.5 Å³/cell. As for the density of states at the Fermi level: 0.3426 states/eV per atom. For the energy relative to the lowest polymorph listed for this composition, the calculation gives 63 meV/atom.

***

Entry 3:
Crystalline P2HPdAu at its relaxed geometry, computed with PBE.

The structure belongs to space group Cm (No. 8); the cell edges are 9.5070, 3.8782 and 4.0787 Å and the angles 90.00°, 90.26° and 90.00°. The inequivalent atoms are P at (0.0000, 0.0000, 0.0000), P at (0.2132, 0.0000, 0.8020), H at (0.2801, 0.0000, 0.1190), Pd at (0.3200, 0.5000, 0.5939) and Au at (0.0224, 0.5000, 0.3735).

The volume comes out at 150.4 Å³/cell. As for the density of states at the Fermi level: 0.3786 states/eV per atom. For the energy relative to the lowest polymorph listed for this composition, the calculation gives 46 meV/atom.

***

Entry 4:
Crystalline P2HPdAu at its relaxed geometry, computed with PBE.

The structure belongs to space group P1 (No. 1); the cell edges are 3.2805, 4.3838 and 5.9340 Å and the angles 104.21°, 96.68° and 103.29°. The inequivalent atoms are P at (0.0000, 0.0000, 0.0000), P at (0.4567, 0.0541, 0.7597), H at (0.3574, 0.6937, 0.6175), Pd at (0.8677, 0.5277, 0.1215) and Au at (0.2868, 0.2397, 0.4247).

The volume comes out at 79.2 Å³/cell. As for the density of states at the Fermi level: 0.0643 states/eV per atom. For the energy relative to the lowest polymorph listed for this composition, the calculation gives 73 meV/atom.

***

Entry 5:
Crystalline P2HPdAu at its relaxed geometry, computed with PBE.

The structure belongs to space group P1 (No. 1); the cell edges are 4.0946, 4.1549 and 5.9201 Å and the angles 99.09°, 91.80° and 118.48°. The inequivalent atoms are P at (0.0000, 0.0000, 0.0000), P at (0.2126, 0.4415, 0.3133), H at (0.7842, 0.6134, 0.0120), Pd at (0.5327, 0.0724, 0.2511) and Au at (0.0681, 0.1688, 0.6433).

The volume comes out at 86.8 Å³/cell. As for the density of states at the Fermi level: 0.1855 states/eV per atom. For the energy relative to the lowest polymorph listed for this composition, the calculation gives 24 meV/atom.

***

Entry 6:
Crystalline P2HPdAu at its relaxed geometry, computed with PBE.

The structure belongs to space group Cm (No. 8); the cell edges are 9.0940, 4.2930 and 5.1604 Å and the angles 90.00°, 120.44° and 90.00°. The inequivalent atoms are P at (0.0000, 0.0000, 0.0000), P at (0.2230, 0.5000, 0.8204), H at (0.4882, 0.5000, 0.7080), Pd at (0.1241, 0.5000, 0.1758) and Au at (0.1796, 0.0000, 0.5686).

The volume comes out at 173.7 Å³/cell. As for the density of states at the Fermi level: 0.2413 states/eV per atom. For the energy relative to the lowest polymorph listed for this composition, the calculation gives 48 meV/atom.

***

Entry 7:
Crystalline PHPd2Au at its relaxed geometry, computed with PBE.

The structure belongs to space group P4/mmm (No. 123); the cell edges are 4.5110, 4.5110 and 4.7021 Å and the angles 90.00°, 90.00° and 90.00°. The inequivalent atoms are P at (0.0000, 0.0000, 0.0000), H at (0.5000, 0.5000, 0.5000), Pd at (0.0000, 0.5000, 0.0000) and Au at (0.0000, 0.0000, 0.5000).

The volume comes out at 95.7 Å³/cell. As for the density of states at the Fermi level: 0.7538 states/eV per atom. The total energy is -3.9033 eV per atom.

***

Entry 8:
Crystalline P2HPtAu at its relaxed geometry, computed with PBE.

The structure belongs to space group P4/mmm (No. 123); the cell edges are 4.8037, 4.8037 and 3.2689 Å and the angles 90.00°, 90.00° and 90.00°. The inequivalent atoms are P at (0.0000, 0.5000, 0.0000), H at (0.0000, 0.0000, 0.5000), Pt at (0.0000, 0.0000, 0.0000) and Au at (0.5000, 0.5000, 0.5000).

The volume comes out at 75.4 Å³/cell. As for the density of states at the Fermi level: 0.4415 states/eV per atom. The total energy is -4.4097 eV per atom.

***

Copy entry 7 word for word.
Crystalline PHPd2Au at its relaxed geometry, computed with PBE.

The structure belongs to space group P4/mmm (No. 123); the cell edges are 4.5110, 4.5110 and 4.7021 Å and the angles 90.00°, 90.00° and 90.00°. The inequivalent atoms are P at (0.0000, 0.0000, 0.0000), H at (0.5000, 0.5000, 0.5000), Pd at (0.0000, 0.5000, 0.0000) and Au at (0.0000, 0.0000, 0.5000).

The volume comes out at 95.7 Å³/cell. As for the density of states at the Fermi level: 0.7538 states/eV per atom. The total energy is -3.9033 eV per atom.